(1)
! BaSc2Co, relaxed, DFT PBE-GGA; values from VASP
&SYSTEM
  ibrav = 0, nat = 4, ntyp = 3
/
ATOMIC_SPECIES
Ba 137.33 Ba.upf
Co 58.93 Co.upf
Sc 44.96 Sc.upf
CELL_PARAMETERS angstrom
5.1242 0.0000 0.0000
0.0000 4.3476 0.0000
0.0000 0.0000 4.3476
ATOMIC_POSITIONS angstrom
Ba 2.5621 2.1738 0.0000
Co 2.5621 0.0000 2.1738
Sc 0.0000 0.0000 0.0000
Sc 0.0000 2.1738 2.1738
! total moment: 0.530 μB per cell
! symmetry: P4/mmm
! total DFT energy (no corrections): -4.839 eV/atom
! ΔE_f: 584 meV per atom


(2)
! PmYHgGe, relaxed, DFT PBE-GGA; values from VASP
&SYSTEM
  ibrav = 0, nat = 4, ntyp = 4
/
ATOMIC_SPECIES
Y 88.91 Y.upf
Ge 72.64 Ge.upf
Hg 200.59 Hg.upf
Pm 145.00 Pm.upf
CELL_PARAMETERS angstrom
5.2202 0.0000 0.0000
2.6101 4.5208 0.0000
2.6101 1.5069 4.2623
ATOMIC_POSITIONS angstrom
Y 5.2202 3.0139 2.1311
Ge 2.6101 1.5069 1.0656
Hg 7.8303 4.5208 3.1967
Pm 0.0000 0.0000 0.0000
! total moment: 0.000 μB per cell
! symmetry: F-43m
! total DFT energy (no corrections): -4.607 eV/atom
! ΔE_f: -574 meV per atom


(3)
! AlTl3F8, relaxed, DFT PBE-GGA; values from VASP
&SYSTEM
  ibrav = 0, nat = 12, ntyp = 3
/
ATOMIC_SPECIES
Al 26.98 Al.upf
Tl 204.38 Tl.upf
F 19.00 F.upf
CELL_PARAMETERS angstrom
5.9336 0.0000 0.0000
0.0000 5.9336 0.0000
-2.9668 -2.9668 5.1366
ATOMIC_POSITIONS angstrom
Al 0.0000 0.0000 0.0000
Tl 2.9668 0.0000 2.5683
Tl 2.9668 2.9668 0.0000
Tl 0.0000 2.9668 2.5683
F 1.1946 1.1946 1.2104
F 1.1946 4.7390 1.2104
F -1.7722 1.7722 3.9263
F -1.7722 -1.7722 3.9263
F 4.7390 4.7390 1.2104
F 4.7390 1.1946 1.2104
F 1.7722 -1.7722 3.9263
F 1.7722 1.7722 3.9263
! total moment: 0.000 μB per cell
! symmetry: I4/mmm
! total DFT energy (no corrections): -4.233 eV/atom
! energy relative to the elements, uncorrected: -201 kJ/mol of atoms


(4)
! Np2Tl3ZnTe6, relaxed, DFT PBE-GGA; values from VASP
&SYSTEM
  ibrav = 0, nat = 12, ntyp = 4
/
ATOMIC_SPECIES
Np 237.00 Np.upf
Tl 204.38 Tl.upf
Zn 65.41 Zn.upf
Te 127.60 Te.upf
CELL_PARAMETERS angstrom
-5.8011 2.5735 -4.2475
-1.1465 -5.6656 4.9903
0.5520 6.4823 5.5034
ATOMIC_POSITIONS angstrom
Np -2.7060 -2.9052 1.8953
Np -4.2416 -0.1869 -1.1525
Tl -1.6807 -0.9904 6.1341
Tl -4.7150 4.3806 0.1121
Tl -3.1978 1.6951 3.1231
Zn 0.0000 0.0000 0.0000
Te -5.6732 4.0953 3.4768
Te -5.0589 -0.9234 1.7254
Te -0.7225 -0.7052 2.7694
Te -4.1811 1.4543 6.4380
Te -1.3368 4.3135 4.5208
Te -2.2145 1.9359 -0.1918
! total moment: 7.001 μB per cell
! symmetry: C2/m
! total DFT energy (no corrections): -4.860 eV/atom
! energy relative to the elements, uncorrected: -42 kJ/mol of atoms


(5)
! Te2AuICl, relaxed, DFT PBE-GGA; values from VASP
&SYSTEM
  ibrav = 0, nat = 5, ntyp = 4
/
ATOMIC_SPECIES
I 126.90 I.upf
Te 127.60 Te.upf
Au 196.97 Au.upf
Cl 35.45 Cl.upf
CELL_PARAMETERS angstrom
5.4810 0.0000 0.0000
0.0000 5.4810 0.0000
0.0000 0.0000 5.5754
ATOMIC_POSITIONS angstrom
I 0.0000 0.0000 2.7877
Te 0.0000 2.7405 0.0000
Te 2.7405 0.0000 0.0000
Au 0.0000 0.0000 0.0000
Cl 2.7405 2.7405 2.7877
! total moment: 0.000 μB per cell
! symmetry: P4/mmm
! total DFT energy (no corrections): -2.156 eV/atom
! energy relative to the elements, uncorrected: 42 kJ/mol of atoms


(6)
! AlCo2Pb, relaxed, DFT PBE-GGA; values from VASP
&SYSTEM
  ibrav = 0, nat = 16, ntyp = 3
/
ATOMIC_SPECIES
Pb 207.20 Pb.upf
Co 58.93 Co.upf
Al 26.98 Al.upf
CELL_PARAMETERS angstrom
-3.4885 2.3377 2.6606
-1.6134 -3.5772 1.0276
9.8322 -2.0275 8.3796
ATOMIC_POSITIONS angstrom
Pb 4.7115 -0.0979 7.0569
Pb -1.0113 -0.8727 3.3809
Pb 0.8537 -0.1522 0.8106
Pb 4.9631 -2.9546 5.5142
Co 5.8946 0.0774 9.5247
Co 0.1718 -0.6975 5.8486
Co 1.4566 0.3695 3.5734
Co 5.5660 -2.4329 8.2770
Co 4.0289 -0.5317 4.4752
Co 8.1383 -3.3340 9.1788
Co 2.3247 0.6142 5.7882
Co 6.4341 -2.1882 10.4918
Al -0.2432 1.5396 4.9779
Al 3.8662 -1.2627 9.6815
Al 7.6757 -1.0661 8.3405
Al 1.9529 -1.8409 4.6645
! total moment: 6.505 μB per cell
! symmetry: Cm
! total DFT energy (no corrections): -5.386 eV/atom
! ΔE_f: 29 meV per atom